4
Lattice="0.000 3.232 3.232 3.232 0.000 3.232 3.232 3.232 0.000" Properties=species:S:1:pos:R:3 comment="PBE NaBAs2, relaxed" dft_energy_ev_per_atom=-3.3461 ef_mev_per_atom=978 mass_density_g_cm3=4.5 de_polymorph_ev_per_atom=0.7496 volume_a3_per_atom=16.88 space_group="Fm-3m, No. 225" pbc="T T T"
As 4.848 4.848 4.848
As 1.616 1.616 1.616
B 0.000 0.000 0.000
Na 3.232 3.232 3.232